# 1
PBEsol TlHgOs2, optimized geometry; symmetry = Imm2, No. 44; energy above the most stable polymorph in this dataset = 150 meV per atom; M_tot = 0.000 μB/atom; total energy = -5.993 eV per atom; crystal system = orthorhombic; ΔE_f = 0.915 eV/atom
1.0
-1.4172 2.3479 5.6216
1.4172 -2.3479 5.6216
1.4172 2.3479 -5.6216
Tl Hg Os
1 1 2
direct
0.0000 0.0000 0.0000
0.3018 0.8018 0.5000
0.5756 0.5756 0.0000
0.7578 0.2578 0.5000

---

# 2
PBEsol HgOs2W, optimized geometry; symmetry = R-3m, No. 166; M_tot = 0.000 μB/atom; total energy = -9.324 eV per atom; crystal system = trigonal; ΔE_f = 0.378 eV/atom
1.0
1.4065 0.8121 9.2089
-1.4065 0.8121 9.2089
0.0000 -1.6241 9.2089
Hg Os W
1 2 1
direct
0.0000 0.0000 0.0000
0.2435 0.2435 0.2435
0.7565 0.7565 0.7565
0.5000 0.5000 0.5000

---

# 3
PBEsol HgOs2W, optimized geometry; symmetry = P4/mmm, No. 123; M_tot = 0.000 μB/atom; total energy = -8.959 eV per atom; crystal system = tetragonal; ΔE_f = 0.743 eV/atom
1.0
4.0759 0.0000 0.0000
0.0000 4.0759 0.0000
0.0000 0.0000 3.7326
Hg Os W
1 2 1
direct
0.0000 0.0000 0.0000
0.0000 0.5000 0.5000
0.5000 0.0000 0.5000
0.5000 0.5000 0.0000

---

# 4
PBEsol YHg2Os, optimized geometry; symmetry = Fm-3m, No. 225; energy above the most stable polymorph in this dataset = 0 meV per atom; M_tot = 0.001 μB/atom; total energy = -4.886 eV per atom; crystal system = cubic; ΔE_f = 0.157 eV/atom
1.0
0.0000 3.3923 3.3923
3.3923 0.0000 3.3923
3.3923 3.3923 0.0000
Y Hg Os
1 2 1
direct
0.0000 0.0000 0.0000
0.2500 0.2500 0.2500
0.7500 0.7500 0.7500
0.5000 0.5000 0.5000

---

# 5
PBEsol YHgOs2, optimized geometry; symmetry = Cm, No. 8; M_tot = 0.000 μB/atom; total energy = -7.626 eV per atom; crystal system = monoclinic; ΔE_f = 0.330 eV/atom
1.0
5.3179 -1.4920 0.0000
5.3179 1.4920 0.0000
-2.0059 0.0000 4.5181
Y Hg Os
1 1 2
direct
0.0000 0.0000 0.0000
0.7823 0.7823 0.3729
0.2348 0.2348 0.8473
0.5345 0.5345 0.5153

---

# 6
PBEsol YHgOs2, optimized geometry; symmetry = I-4m2, No. 119; M_tot = 0.000 μB/atom; total energy = -7.517 eV per atom; crystal system = tetragonal; ΔE_f = 0.439 eV/atom
1.0
-2.0571 2.0571 4.1258
2.0571 -2.0571 4.1258
2.0571 2.0571 -4.1258
Y Hg Os
1 1 2
direct
0.0000 0.0000 0.0000
0.7500 0.2500 0.5000
0.2500 0.7500 0.5000
0.5000 0.5000 0.0000

---

# 7
PBEsol YHg2Os, optimized geometry; symmetry = R-3m, No. 166; energy above the most stable polymorph in this dataset = 322 meV per atom; M_tot = 0.004 μB/atom; total energy = -4.565 eV per atom; crystal system = trigonal; ΔE_f = 0.478 eV/atom
1.0
1.5197 0.8774 9.8057
-1.5197 0.8774 9.8057
0.0000 -1.7548 9.8057
Y Hg Os
1 2 1
direct
0.0000 0.0000 0.0000
0.2437 0.2437 0.2437
0.7563 0.7563 0.7563
0.5000 0.5000 0.5000

---

# 8
PBEsol ZnHg2Os, optimized geometry; symmetry = Pmm2, No. 25; M_tot = 0.000 μB/atom; total energy = -3.230 eV per atom; crystal system = orthorhombic; ΔE_f = 0.503 eV/atom
1.0
2.7537 0.0000 0.0000
0.0000 3.8097 0.0000
0.0000 0.0000 6.7503
Zn Hg Os
1 2 1
direct
0.0000 0.0000 0.0000
0.0000 0.0000 0.5748
0.5000 0.5000 0.2741
0.5000 0.5000 0.8411

---

# 9
PBEsol ZnHgOs, optimized geometry; symmetry = P3m1, No. 156; energy above the most stable polymorph in this dataset = 0 meV per atom; M_tot = 0.000 μB/atom; total energy = -4.300 eV per atom; crystal system = trigonal; ΔE_f = 0.488 eV/atom
1.0
2.8483 0.0000 0.0000
-1.4242 2.4667 0.0000
0.0000 0.0000 6.7954
Zn Hg Os
1 1 1
direct
0.0000 0.0000 0.0000
0.6667 0.3333 0.6522
0.3333 0.6667 0.2955

---

# 10
PBEsol ZnHg2Os, optimized geometry; symmetry = Cm, No. 8; M_tot = 0.000 μB/atom; total energy = -3.236 eV per atom; crystal system = monoclinic; ΔE_f = 0.497 eV/atom
1.0
6.2920 -1.3908 0.0000
6.2920 1.3908 0.0000
-1.7307 0.0000 4.3679
Zn Hg Os
1 2 1
direct
0.0000 0.0000 0.0000
0.1864 0.1864 0.6886
0.3967 0.3967 0.4005
0.6832 0.6832 0.1855

---

# 11
PBEsol ZnHg2Os, optimized geometry; symmetry = Cmm2, No. 35; M_tot = 0.000 μB/atom; total energy = -3.244 eV per atom; crystal system = orthorhombic; ΔE_f = 0.489 eV/atom
1.0
1.4446 -2.4786 0.0000
1.4446 2.4786 0.0000
0.0000 0.0000 9.7991
Zn Hg Os
1 2 1
direct
0.0000 0.0000 0.0000
0.0000 0.0000 0.5385
0.5000 0.5000 0.2494
0.5000 0.5000 0.7898

---

# 12
PBEsol ZnHg2Os, optimized geometry; symmetry = P4/mmm, No. 123; M_tot = 0.000 μB/atom; total energy = -3.215 eV per atom; crystal system = tetragonal; ΔE_f = 0.518 eV/atom
1.0
4.0655 0.0000 0.0000
0.0000 4.0655 0.0000
0.0000 0.0000 4.0286
Zn Hg Os
1 2 1
direct
0.0000 0.0000 0.0000
0.0000 0.5000 0.5000
0.5000 0.0000 0.5000
0.5000 0.5000 0.0000

---

# 13
PBEsol ZnHgOs, optimized geometry; symmetry = I4mm, No. 107; energy above the most stable polymorph in this dataset = 92 meV per atom; M_tot = 0.001 μB/atom; total energy = -4.208 eV per atom; crystal system = tetragonal; ΔE_f = 0.580 eV/atom
1.0
-1.4230 1.4230 5.9052
1.4230 -1.4230 5.9052
1.4230 1.4230 -5.9052
Zn Hg Os
1 1 1
direct
0.0000 0.0000 0.0000
0.6817 0.6817 0.0000
0.3588 0.3588 0.0000

---

# 14
PBEsol Zr2HgOs, optimized geometry; symmetry = P4/mmm, No. 123; M_tot = 0.000 μB/atom; total energy = -8.135 eV per atom; crystal system = tetragonal; ΔE_f = -0.395 eV/atom
1.0
3.2147 0.0000 0.0000
0.0000 3.2147 0.0000
0.0000 0.0000 7.3518
Zr Hg Os
2 1 1
direct
0.0000 0.0000 0.2225
0.0000 0.0000 0.7775
0.5000 0.5000 0.5000
0.5000 0.5000 0.0000

---

# 15
PBEsol HgP3, optimized geometry; symmetry = Pm-3n, No. 223; energy above the most stable polymorph in this dataset = 141 meV per atom; M_tot = 0.000 μB/atom; total energy = -3.606 eV per atom; crystal system = cubic; ΔE_f = 0.879 eV/atom
1.0
5.1517 0.0000 0.0000
0.0000 5.1517 0.0000
0.0000 0.0000 5.1517
Hg P
2 6
direct
0.0000 0.0000 0.0000
0.5000 0.5000 0.5000
0.0000 0.2500 0.5000
0.0000 0.7500 0.5000
0.2500 0.5000 0.0000
0.5000 0.0000 0.2500
0.5000 0.0000 0.7500
0.7500 0.5000 0.0000

---

# 16
PBEsol HgP4, optimized geometry; symmetry = I4/m, No. 87; M_tot = 0.000 μB/atom; total energy = -4.264 eV per atom; crystal system = tetragonal; ΔE_f = 0.483 eV/atom
1.0
-3.6081 3.6081 1.8815
3.6081 -3.6081 1.8815
3.6081 3.6081 -1.8815
Hg P
1 4
direct
0.0000 0.0000 0.0000
0.1559 0.4989 0.6548
0.4989 0.8441 0.3431
0.5011 0.1559 0.6569
0.8441 0.5011 0.3452

---

# 17
PBEsol Hg4P, optimized geometry; symmetry = I4/mmm, No. 139; M_tot = 0.000 μB/atom; total energy = -1.178 eV per atom; crystal system = tetragonal; ΔE_f = 0.434 eV/atom
1.0
-1.9643 1.9643 7.4622
1.9643 -1.9643 7.4622
1.9643 1.9643 -7.4622
Hg P
4 1
direct
0.0916 0.0916 0.0000
0.2500 0.7500 0.5000
0.7500 0.2500 0.5000
0.9084 0.9084 0.0000
0.5000 0.5000 0.0000

---

# 18
PBEsol HgP3, optimized geometry; symmetry = P4/mmm, No. 123; energy above the most stable polymorph in this dataset = 0 meV per atom; M_tot = 0.000 μB/atom; total energy = -3.747 eV per atom; crystal system = tetragonal; ΔE_f = 0.739 eV/atom
1.0
5.0392 0.0000 0.0000
0.0000 5.0392 0.0000
0.0000 0.0000 2.6835
Hg P
1 3
direct
0.0000 0.0000 0.0000
0.0000 0.5000 0.5000
0.5000 0.0000 0.5000
0.5000 0.5000 0.0000

---

# 19
PBEsol HgP3, optimized geometry; symmetry = Pm-3m, No. 221; energy above the most stable polymorph in this dataset = 99 meV per atom; M_tot = 0.000 μB/atom; total energy = -3.647 eV per atom; crystal system = cubic; ΔE_f = 0.838 eV/atom
1.0
4.0896 0.0000 0.0000
0.0000 4.0896 0.0000
0.0000 0.0000 4.0896
Hg P
1 3
direct
0.0000 0.0000 0.0000
0.0000 0.5000 0.5000
0.5000 0.0000 0.5000
0.5000 0.5000 0.0000

---

# 20
PBEsol HgP4, optimized geometry; symmetry = I4/mmm, No. 139; M_tot = 0.000 μB/atom; total energy = -4.482 eV per atom; crystal system = tetragonal; ΔE_f = 0.265 eV/atom
1.0
-2.1283 2.1283 5.2874
2.1283 -2.1283 5.2874
2.1283 2.1283 -5.2874
Hg P
1 4
direct
0.0000 0.0000 0.0000
0.2500 0.7500 0.5000
0.3360 0.3360 0.0000
0.6640 0.6640 0.0000
0.7500 0.2500 0.5000

---

# 21
PBEsol HgP5, optimized geometry; symmetry = Cmmm, No. 65; M_tot = 0.000 μB/atom; total energy = -4.751 eV per atom; crystal system = orthorhombic; ΔE_f = 0.170 eV/atom
1.0
1.7390 -5.6057 0.0000
1.7390 5.6057 0.0000
0.0000 0.0000 5.0254
Hg P
1 5
direct
0.0000 0.0000 0.0000
0.0000 0.0000 0.5000
0.3150 0.6850 0.0000
0.3265 0.6735 0.5000
0.6735 0.3265 0.5000
0.6850 0.3150 0.0000

---

# 22
PBEsol HgPPb, optimized geometry; symmetry = P3m1, No. 156; energy above the most stable polymorph in this dataset = 0 meV per atom; M_tot = 0.000 μB/atom; total energy = -3.325 eV per atom; crystal system = trigonal; ΔE_f = 0.128 eV/atom
1.0
4.0574 0.0000 0.0000
-2.0287 3.5138 0.0000
0.0000 0.0000 5.0320
Hg P Pb
1 1 1
direct
0.0000 0.0000 0.0000
0.3333 0.6667 0.7315
0.6667 0.3333 0.4216

---

# 23
PBEsol Hg2PPb, optimized geometry; symmetry = I-4m2, No. 119; M_tot = 0.000 μB/atom; total energy = -2.488 eV per atom; crystal system = tetragonal; ΔE_f = 0.243 eV/atom
1.0
-2.5429 2.5429 3.5534
2.5429 -2.5429 3.5534
2.5429 2.5429 -3.5534
Hg P Pb
2 1 1
direct
0.0000 0.0000 0.0000
0.7500 0.2500 0.5000
0.5000 0.5000 0.0000
0.2500 0.7500 0.5000

---

# 24
PBEsol HgP14Pb, optimized geometry; symmetry = Pnma, No. 62; M_tot = 0.000 μB/atom; total energy = -5.360 eV per atom; crystal system = orthorhombic; ΔE_f = -0.007 eV/atom
1.0
12.6912 0.0000 0.0000
0.0000 9.8407 0.0000
0.0000 0.0000 10.4935
Hg P Pb
4 56 4
direct
0.1862 0.2500 0.0118
0.3138 0.7500 0.5118
0.6862 0.2500 0.4882
0.8138 0.7500 0.9882
0.0347 0.2500 0.8374
0.0350 0.5759 0.8477
0.0350 0.9241 0.8477
0.0654 0.5805 0.4269
0.0648 0.7500 0.7187
0.0654 0.9195 0.4269
0.0760 0.0835 0.7063
0.0756 0.2500 0.4092
0.0760 0.4165 0.7063
0.1359 0.0442 0.1427
0.1359 0.4558 0.1427
0.1639 0.7500 0.3572
0.1727 0.0763 0.3442
0.1727 0.4237 0.3442
0.3273 0.5763 0.8442
0.3273 0.9237 0.8442
0.3361 0.2500 0.8572
0.3641 0.5442 0.6427
0.3641 0.9558 0.6427
0.4240 0.5835 0.2063
0.4244 0.7500 0.9092
0.4240 0.9165 0.2063
0.4346 0.0805 0.9269
0.4352 0.2500 0.2187
0.4346 0.4195 0.9269
0.4650 0.0759 0.3477
0.4650 0.4241 0.3477
0.4653 0.7500 0.3374
0.5347 0.2500 0.6626
0.5350 0.5759 0.6523
0.5350 0.9241 0.6523
0.5654 0.5805 0.0731
0.5648 0.7500 0.7813
0.5654 0.9195 0.0731
0.5760 0.0835 0.7937
0.5756 0.2500 0.0908
0.5760 0.4165 0.7937
0.6359 0.0442 0.3573
0.6359 0.4558 0.3573
0.6639 0.7500 0.1428
0.6727 0.0763 0.1558
0.6727 0.4237 0.1558
0.8273 0.5763 0.6558
0.8273 0.9237 0.6558
0.8361 0.2500 0.6428
0.8641 0.5442 0.8573
0.8641 0.9558 0.8573
0.9240 0.5835 0.2937
0.9244 0.7500 0.5908
0.9240 0.9165 0.2937
0.9346 0.0805 0.5731
0.9352 0.2500 0.2813
0.9346 0.4195 0.5731
0.9650 0.0759 0.1523
0.9650 0.4241 0.1523
0.9653 0.7500 0.1626
0.1772 0.7500 0.0920
0.3228 0.2500 0.5920
0.6772 0.7500 0.4080
0.8228 0.2500 0.9080

---

# 25
PBEsol HgPPb, optimized geometry; symmetry = F-43m, No. 216; energy above the most stable polymorph in this dataset = 326 meV per atom; M_tot = 0.000 μB/atom; total energy = -2.999 eV per atom; crystal system = cubic; ΔE_f = 0.453 eV/atom
1.0
0.0000 3.4357 3.4357
3.4357 0.0000 3.4357
3.4357 3.4357 0.0000
Hg P Pb
1 1 1
direct
0.0000 0.0000 0.0000
0.5000 0.5000 0.5000
0.7500 0.7500 0.7500

---

# 26
PBEsol Tl2HgPPb, optimized geometry; symmetry = P4/mmm, No. 123; M_tot = 0.000 μB/atom; total energy = -2.368 eV per atom; crystal system = tetragonal; ΔE_f = 0.755 eV/atom
1.0
5.3795 0.0000 0.0000
0.0000 5.3795 0.0000
0.0000 0.0000 5.6405
Tl Hg P Pb
2 1 1 1
direct
0.0000 0.5000 0.0000
0.5000 0.0000 0.0000
0.0000 0.0000 0.0000
0.5000 0.5000 0.5000
0.0000 0.0000 0.5000